Entry one
Computed, not measured: a relaxed Pr2Tl2Cd crystal at the PBE-GGA level of DFT.

- density (g/cm3) = 9.0
- spin magnetization (μB/f.u.) = 0.00
- N(E_F) (states/eV per cell) = 8.35
- space-group type = C2/m (12)

Unit cell a=6.374 b=6.374 c=11.332 alpha=113.72 beta=113.72 gamma=45.63
Fractional positions:
1 Pr 0.024 0.024 0.337
2 Pr 0.176 0.176 0.090
3 Pr 0.824 0.824 0.910
4 Pr 0.976 0.976 0.663
5 Tl 0.356 0.356 0.434
6 Tl 0.465 0.465 0.119
7 Tl 0.535 0.535 0.881
8 Tl 0.644 0.644 0.566
9 Cd 0.276 0.276 0.672
10 Cd 0.724 0.724 0.328



Entry two
Computed, not measured: a relaxed Pr2Tl2Cd crystal at the PBE-GGA level of DFT.

- density (g/cm3) = 8.9
- spin magnetization (μB/f.u.) = 0.00
- N(E_F) (states/eV per cell) = 9.32
- space-group type = P4/mbm (127)

Unit cell a=7.886 b=7.886 c=4.807 alpha=90.00 beta=90.00 gamma=90.00
Fractional positions:
1 Pr 0.169 0.331 0.000
2 Pr 0.331 0.831 0.000
3 Pr 0.669 0.169 0.000
4 Pr 0.831 0.669 0.000
5 Tl 0.137 0.637 0.500
6 Tl 0.363 0.137 0.500
7 Tl 0.637 0.863 0.500
8 Tl 0.863 0.363 0.500
9 Cd 0.000 0.000 0.500
10 Cd 0.500 0.500 0.500



Stability summary: most stable entry one, least stable entry two.



Entry one
Computed, not measured: a relaxed Pr2TlCd2 crystal at the PBE-GGA level of DFT.

- density (g/cm3) = 8.3
- spin magnetization (μB/f.u.) = 0.00
- N(E_F) (states/eV per cell) = 9.80
- space-group type = C2/m (12)

Unit cell a=6.305 b=6.305 c=10.216 alpha=107.75 beta=107.75 gamma=47.78
Fractional positions:
1 Pr 0.053 0.053 0.350
2 Pr 0.174 0.174 0.067
3 Pr 0.826 0.826 0.933
4 Pr 0.947 0.947 0.650
5 Tl 0.255 0.255 0.701
6 Tl 0.745 0.745 0.299
7 Cd 0.372 0.372 0.415
8 Cd 0.478 0.478 0.133
9 Cd 0.522 0.522 0.867
10 Cd 0.628 0.628 0.585



Entry two
Computed, not measured: a relaxed Pr2TlCd2 crystal at the PBE-GGA level of DFT.

- density (g/cm3) = 8.3
- spin magnetization (μB/f.u.) = 0.00
- N(E_F) (states/eV per cell) = 11.64
- space-group type = R-3m (166)

Unit cell a=5.399 b=5.399 c=16.906 alpha=90.00 beta=90.00 gamma=120.00
Fractional positions:
1 Pr 0.000 0.000 0.228
2 Pr 0.000 0.000 0.772
3 Pr 0.333 0.667 0.439
4 Pr 0.333 0.667 0.894
5 Pr 0.667 0.333 0.106
6 Pr 0.667 0.333 0.561
7 Tl 0.000 0.000 0.000
8 Tl 0.333 0.667 0.667
9 Tl 0.667 0.333 0.333
10 Cd 0.000 0.000 0.416
11 Cd 0.000 0.000 0.584
12 Cd 0.333 0.667 0.083
13 Cd 0.333 0.667 0.251
14 Cd 0.667 0.333 0.749
15 Cd 0.667 0.333 0.917



Stability summary: most stable entry one, least stable entry two.



Entry one
Computed, not measured: a relaxed PrTl2Cd crystal at the PBE-GGA level of DFT.

- density (g/cm3) = 9.9
- spin magnetization (μB/f.u.) = 0.00
- N(E_F) (states/eV per cell) = 2.87
- space-group type = P4/mmm (123)

Unit cell a=3.779 b=3.779 c=7.772 alpha=90.00 beta=90.00 gamma=90.00
Fractional positions:
1 Pr 0.000 0.000 0.000
2 Tl 0.500 0.500 0.273
3 Tl 0.500 0.500 0.727
4 Cd 0.000 0.000 0.500



Entry two
Computed, not measured: a relaxed PrTl2Cd crystal at the PBE-GGA level of DFT.

- density (g/cm3) = 9.7
- spin magnetization (μB/f.u.) = 0.00
- N(E_F) (states/eV per cell) = 5.24
- space-group type = R-3m (166)

Unit cell a=4.936 b=4.936 c=16.070 alpha=90.00 beta=90.00 gamma=120.00
Fractional positions:
1 Pr 0.000 0.000 0.000
2 Pr 0.333 0.667 0.667
3 Pr 0.667 0.333 0.333
4 Tl 0.000 0.000 0.234
5 Tl 0.000 0.000 0.766
6 Tl 0.333 0.667 0.433
7 Tl 0.333 0.667 0.901
8 Tl 0.667 0.333 0.099
9 Tl 0.667 0.333 0.567
10 Cd 0.000 0.000 0.500
11 Cd 0.333 0.667 0.167
12 Cd 0.667 0.333 0.833



Entry three
Computed, not measured: a relaxed PrTl2Cd crystal at the PBE-GGA level of DFT.

- density (g/cm3) = 10.0
- spin magnetization (μB/f.u.) = 0.00
- N(E_F) (states/eV per cell) = 2.65
- space-group type = P4/mmm (123)

Unit cell a=4.831 b=4.831 c=4.704 alpha=90.00 beta=90.00 gamma=90.00
Fractional positions:
1 Pr 0.000 0.000 0.000
2 Tl 0.000 0.500 0.500
3 Tl 0.500 0.000 0.500
4 Cd 0.500 0.500 0.000



Entry four
Computed, not measured: a relaxed PrTl2Cd crystal at the PBE-GGA level of DFT.

- density (g/cm3) = 9.9
- spin magnetization (μB/f.u.) = 0.00
- N(E_F) (states/eV per cell) = 11.54
- space-group type = Fm-3m (225)

Unit cell a=7.636 b=7.636 c=7.636 alpha=90.00 beta=90.00 gamma=90.00
Fractional positions:
1 Pr 0.000 0.000 0.000
2 Pr 0.000 0.500 0.500
3 Pr 0.500 0.000 0.500
4 Pr 0.500 0.500 0.000
5 Tl 0.250 0.250 0.250
6 Tl 0.250 0.250 0.750
7 Tl 0.250 0.750 0.250
8 Tl 0.250 0.750 0.750
9 Tl 0.750 0.250 0.250
10 Tl 0.750 0.250 0.750
11 Tl 0.750 0.750 0.250
12 Tl 0.750 0.750 0.750
13 Cd 0.000 0.000 0.500
14 Cd 0.000 0.500 0.000
15 Cd 0.500 0.000 0.000
16 Cd 0.500 0.500 0.500



Stability summary: most stable entry three, least stable entry one.



Entry one
Computed, not measured: a relaxed Pr2TlCd crystal at the PBE-GGA level of DFT.

- density (g/cm3) = 8.3
- spin magnetization (μB/f.u.) = 0.53
- N(E_F) (states/eV per cell) = 21.03
- space-group type = Fm-3m (225)

Unit cell a=7.828 b=7.828 c=7.828 alpha=90.00 beta=90.00 gamma=90.00
Fractional positions:
1 Pr 0.250 0.250 0.250
2 Pr 0.250 0.250 0.750
3 Pr 0.250 0.750 0.250
4 Pr 0.250 0.750 0.750
5 Pr 0.750 0.250 0.250
6 Pr 0.750 0.250 0.750
7 Pr 0.750 0.750 0.250
8 Pr 0.750 0.750 0.750
9 Tl 0.000 0.000 0.000
10 Tl 0.000 0.500 0.500
11 Tl 0.500 0.000 0.500
12 Tl 0.500 0.500 0.000
13 Cd 0.000 0.000 0.500
14 Cd 0.000 0.500 0.000
15 Cd 0.500 0.000 0.000
16 Cd 0.500 0.500 0.500



Entry two
Computed, not measured: a relaxed Pr2TlCd crystal at the PBE-GGA level of DFT.

- density (g/cm3) = 8.3
- spin magnetization (μB/f.u.) = 0.53
- N(E_F) (states/eV per cell) = 5.98
- space-group type = P4/mmm (123)

Unit cell a=5.528 b=5.528 c=3.923 alpha=90.00 beta=90.00 gamma=90.00
Fractional positions:
1 Pr 0.000 0.500 0.000
2 Pr 0.500 0.000 0.000
3 Tl 0.000 0.000 0.500
4 Cd 0.500 0.500 0.500



Stability summary: most stable entry one, least stable entry two.



Entry one
Computed, not measured: a relaxed Pr6TlCd5 crystal at the PBE-GGA level of DFT.

- density (g/cm3) = 7.6
- spin magnetization (μB/f.u.) = 2.36
- N(E_F) (states/eV per cell) = 15.01
- space-group type = Cmmm (65)

Unit cell a=8.704 b=8.704 c=7.806 alpha=90.00 beta=90.00 gamma=143.21
Fractional positions:
1 Pr 0.000 0.000 0.249
2 Pr 0.000 0.000 0.751
3 Pr 0.333 0.667 0.249
4 Pr 0.333 0.667 0.751
5 Pr 0.667 0.333 0.249
6 Pr 0.667 0.333 0.751
7 Tl 0.500 0.500 0.500
8 Cd 0.167 0.833 0.000
9 Cd 0.169 0.831 0.500
10 Cd 0.500 0.500 0.000
11 Cd 0.831 0.169 0.500
12 Cd 0.833 0.167 0.000



Entry two
Computed, not measured: a relaxed Pr6TlCd5 crystal at the PBE-GGA level of DFT.

- density (g/cm3) = 7.1
- spin magnetization (μB/f.u.) = 0.00
- N(E_F) (states/eV per cell) = 12.23
- space-group type = C2/m (12)

Unit cell a=6.566 b=6.566 c=10.366 alpha=95.95 beta=95.95 gamma=120.74
Fractional positions:
1 Pr 0.065 0.408 0.737
2 Pr 0.218 0.218 0.227
3 Pr 0.408 0.065 0.737
4 Pr 0.592 0.935 0.263
5 Pr 0.782 0.782 0.773
6 Pr 0.935 0.592 0.263
7 Tl 0.500 0.500 0.000
8 Cd 0.000 0.000 0.500
9 Cd 0.197 0.803 0.000
10 Cd 0.365 0.635 0.500
11 Cd 0.635 0.365 0.500
12 Cd 0.803 0.197 0.000



Stability summary: most stable entry one, least stable entry two.



Entry one
Computed, not measured: a relaxed Pr2TlCd5 crystal at the PBE-GGA level of DFT.

- density (g/cm3) = 8.2
- spin magnetization (μB/f.u.) = 0.00
- N(E_F) (states/eV per cell) = 13.74
- space-group type = Cmcm (63)

Unit cell a=9.275 b=9.275 c=9.988 alpha=90.00 beta=90.00 gamma=150.32
Fractional positions:
1 Pr 0.000 0.000 0.000
2 Pr 0.000 0.000 0.500
3 Pr 0.197 0.803 0.750
4 Pr 0.803 0.197 0.250
5 Tl 0.455 0.545 0.250
6 Tl 0.545 0.455 0.750
7 Cd 0.192 0.808 0.105
8 Cd 0.192 0.808 0.395
9 Cd 0.353 0.647 0.029
10 Cd 0.353 0.647 0.471
11 Cd 0.389 0.611 0.750
12 Cd 0.611 0.389 0.250
13 Cd 0.647 0.353 0.529
14 Cd 0.647 0.353 0.971
15 Cd 0.808 0.192 0.605
16 Cd 0.808 0.192 0.895



Entry two
Computed, not measured: a relaxed Pr2TlCd5 crystal at the PBE-GGA level of DFT.

- density (g/cm3) = 8.2
- spin magnetization (μB/f.u.) = 0.00
- N(E_F) (states/eV per cell) = 13.70
- space-group type = I4mm (107)

Unit cell a=6.628 b=6.628 c=9.640 alpha=90.00 beta=90.00 gamma=90.00
Fractional positions:
1 Pr 0.000 0.500 0.000
2 Pr 0.000 0.500 0.500
3 Pr 0.500 0.000 0.000
4 Pr 0.500 0.000 0.500
5 Tl 0.000 0.000 0.499
6 Tl 0.500 0.500 0.999
7 Cd 0.000 0.000 0.001
8 Cd 0.250 0.250 0.250
9 Cd 0.250 0.250 0.750
10 Cd 0.250 0.750 0.250
11 Cd 0.250 0.750 0.750
12 Cd 0.500 0.500 0.501
13 Cd 0.750 0.250 0.250
14 Cd 0.750 0.250 0.750
15 Cd 0.750 0.750 0.250
16 Cd 0.750 0.750 0.750



Stability summary: most stable entry two, least stable entry one.